No. 1
# LiScMo2, relaxed, DFT GGA-PBEsol
# electronic total energy: -7.74 eV/atom
data_LiScMo2
_chemical_formula_sum 'Li1 Sc1 Mo2'
_space_group_name_H-M_alt 'P 1 m 1'
_space_group_IT_number 6
_space_group_name_Hall 'P -2y'
_cell_length_a 2.7248
_cell_length_b 4.3637
_cell_length_c 5.6716
_cell_angle_alpha 90.00
_cell_angle_beta 100.77
_cell_angle_gamma 90.00
loop_
_atom_site_label
_atom_site_fract_x
_atom_site_fract_y
_atom_site_fract_z
Li1 0.0000 0.0000 0.0000
Sc1 0.3042 0.5000 0.7302
Mo1 0.5679 0.0000 0.4565
Mo2 0.7539 0.5000 0.2618

No. 2
# SmEuZn2, relaxed, DFT GGA-PBEsol
# electronic total energy: -4.98 eV/atom
data_SmEuZn2
_chemical_formula_sum 'Sm4 Eu4 Zn8'
_space_group_name_H-M_alt 'F m -3 m'
_space_group_IT_number 225
_space_group_name_Hall '-F 4 2 3'
_cell_length_a 7.2088
_cell_length_b 7.2088
_cell_length_c 7.2088
_cell_angle_alpha 90.00
_cell_angle_beta 90.00
_cell_angle_gamma 90.00
loop_
_atom_site_label
_atom_site_fract_x
_atom_site_fract_y
_atom_site_fract_z
Sm1 0.0000 0.0000 0.0000
Eu1 0.0000 0.0000 0.5000
Zn1 0.2500 0.2500 0.2500

No. 3
# TlSb2Ir, relaxed, DFT GGA-PBEsol
# electronic total energy: -4.90 eV/atom
# ΔE_f (raw): 0.497 eV per atom
data_TlSb2Ir
_chemical_formula_sum 'Tl2 Sb4 Ir2'
_space_group_name_H-M_alt 'I -4 m 2'
_space_group_IT_number 119
_space_group_name_Hall 'I -4 -2'
_cell_length_a 4.5558
_cell_length_b 4.5558
_cell_length_c 8.3266
_cell_angle_alpha 90.00
_cell_angle_beta 90.00
_cell_angle_gamma 90.00
loop_
_atom_site_label
_atom_site_fract_x
_atom_site_fract_y
_atom_site_fract_z
Tl1 0.0000 0.0000 0.0000
Sb1 0.0000 0.0000 0.5000
Sb2 0.0000 0.5000 0.7500
Ir1 0.0000 0.5000 0.2500

No. 4
# SrOs2Pt, relaxed, DFT GGA-PBEsol
# electronic total energy: -7.36 eV/atom
data_SrOs2Pt
_chemical_formula_sum 'Sr2 Os4 Pt2'
_space_group_name_H-M_alt 'I 4/m m m'
_space_group_IT_number 139
_space_group_name_Hall '-I 4 2'
_cell_length_a 3.9912
_cell_length_b 3.9912
_cell_length_c 8.6248
_cell_angle_alpha 90.00
_cell_angle_beta 90.00
_cell_angle_gamma 90.00
loop_
_atom_site_label
_atom_site_fract_x
_atom_site_fract_y
_atom_site_fract_z
Sr1 0.0000 0.0000 0.0000
Os1 0.0000 0.5000 0.2500
Pt1 0.0000 0.0000 0.5000